Entry 1:
The following is a DFT calculation (GGA-PBE) of Ho5NpP6 after structural relaxation.

a = 6.887 Å, b = 6.887 Å, c = 6.889 Å
α = 60.01°, β = 80.42°, γ = 70.55°
Positions (direct):
P 0.752 0.083 0.329
Ho 0.500 0.832 0.336
P 0.752 0.412 0.671
Ho 0.000 0.334 0.333
Np 0.000 0.000 0.000
P 0.248 0.588 0.329
P 0.247 0.246 0.000
Ho 0.000 0.666 0.667
P 0.248 0.917 0.671
P 0.753 0.754 0.000
Ho 0.500 0.500 0.000
Ho 0.500 0.168 0.664

Output
- Total moment: 3.5 μB/cell
- Electronic total energy: -86.098 eV per formula unit
- Density: 7.76 Mg/m³


Entry 2:
The following is a DFT calculation (GGA-PBE) of Sr3RhC2N6 after structural relaxation.

a = 5.389 Å, b = 5.389 Å, c = 6.529 Å
α = 90.00°, β = 90.00°, γ = 120.00°
Positions (direct):
Sr 0.333 0.667 0.694
C 0.667 0.333 0.706
N 0.186 0.814 0.287
N 0.814 0.186 0.713
N 0.186 0.372 0.287
N 0.628 0.814 0.287
N 0.372 0.186 0.713
Rh 0.000 0.000 0.500
N 0.814 0.628 0.713
Sr 0.667 0.333 0.306
Sr 0.000 0.000 0.000
C 0.333 0.667 0.294

Output
- Total moment: 1.5 μB/cell
- Density: 4.79 Mg/m³
- Formation energy from raw total energies: -2.98 eV per formula unit


Entry 3:
The following is a DFT calculation (GGA-PBE) of CaPu4Pd5 after structural relaxation.

a = 3.444 Å, b = 3.444 Å, c = 18.428 Å
α = 90.00°, β = 90.00°, γ = 90.00°
Positions (direct):
Pd 0.500 0.500 0.103
Pu 0.000 0.000 0.800
Pd 0.500 0.500 0.500
Pu 0.000 0.000 0.200
Pd 0.500 0.500 0.700
Pu 0.000 0.000 0.599
Pd 0.500 0.500 0.897
Pd 0.500 0.500 0.300
Ca 0.000 0.000 0.000
Pu 0.000 0.000 0.401

Output
- Total moment: 0.2 μB/cell
- Electronic total energy: -89.708 eV per formula unit
- Density: 11.76 Mg/m³


Entry 4:
The following is a DFT calculation (GGA-PBE) of K2ScAs2O6 after structural relaxation.

a = 5.832 Å, b = 5.631 Å, c = 6.974 Å
α = 111.26°, β = 90.00°, γ = 121.19°
Positions (direct):
O 0.267 0.049 0.734
O 0.218 0.951 0.266
O 0.782 0.049 0.734
O 0.262 0.525 0.417
K 0.293 0.585 0.830
K 0.707 0.415 0.170
As 0.929 0.858 0.774
O 0.738 0.475 0.583
O 0.733 0.951 0.266
As 0.071 0.142 0.226
Sc 0.500 0.000 0.500

Output
- Total moment: 1.0 μB/cell
- Density: 3.45 Mg/m³
- Formation energy from raw total energies: -20.72 eV per formula unit


Entry 5:
The following is a DFT calculation (GGA-PBE) of InCuRe2 after structural relaxation.

a = 2.742 Å, b = 2.742 Å, c = 8.979 Å
α = 90.00°, β = 90.00°, γ = 110.50°
Positions (direct):
Re 0.000 0.000 0.484
Cu 0.500 0.500 0.250
Re 0.000 0.000 0.016
In 0.500 0.500 0.750

Output
- Total moment: 0.0 μB/cell
- Electronic total energy: -29.056 eV per formula unit
- Density: 14.46 Mg/m³


Entry 6:
The following is a DFT calculation (GGA-PBE) of Sm6TlAg3 after structural relaxation.

a = 5.098 Å, b = 9.467 Å, c = 12.212 Å
α = 104.84°, β = 90.00°, γ = 90.00°
Positions (direct):
Sm 0.250 0.116 0.159
Sm 0.750 0.704 0.514
Sm 0.250 0.648 0.719
Ag 0.250 0.774 0.972
Tl 0.750 0.065 0.366
Tl 0.250 0.935 0.634
Sm 0.250 0.519 0.109
Ag 0.750 0.458 0.637
Sm 0.250 0.149 0.891
Ag 0.750 0.657 0.261
Sm 0.750 0.481 0.891
Sm 0.250 0.866 0.353
Sm 0.750 0.884 0.841
Sm 0.750 0.134 0.647
Ag 0.250 0.542 0.363
Sm 0.750 0.352 0.281
Sm 0.250 0.296 0.486
Ag 0.750 0.226 0.028
Ag 0.250 0.343 0.739
Sm 0.750 0.851 0.109

Output
- Total moment: 0.0 μB/cell
- Electronic total energy: -41.179 eV per formula unit
- Density: 8.34 Mg/m³